Entry 1:
# K2CaBr

An optimized crystal structure of K2CaBr (PBE, Alexandria via LeMat-Bulk).

Cell and atoms, written as POSCAR:
```
K2CaBr
1.0
-0.021 -8.798 7.948
-1.528 -10.873 4.476
2.726 -10.388 5.024
K Ca Br
2 1 1
direct
0.978 0.978 0.978
0.522 0.522 0.522
0.750 0.750 0.750
0.250 0.250 0.250
```

Properties
- mass density (g/cm³) = 1.76
- calculated volume (Å³/cell) = 187
- symmetry = No. 166
- raw formation energy (kJ/mol of formula units) = -282



Entry 2:
# BeCr2Pt

An optimized crystal structure of BeCr2Pt (PBE, Alexandria via LeMat-Bulk).

Cell and atoms, written as POSCAR:
```
BeCr2Pt
1.0
-0.169 1.564 2.959
-3.336 0.155 -0.272
-0.331 -3.710 1.943
Cr Pt Be
2 1 1
direct
0.500 0.500 0.000
0.000 0.000 0.000
0.500 0.000 0.500
0.000 0.500 0.500
```

Properties
- mass density (g/cm³) = 10.85
- ΔE_f (meV per atom) = -153
- calculated volume (Å³/cell) = 47
- symmetry = No. 123



Entry 3:
# Te2SeIO

An optimized crystal structure of Te2SeIO (PBE, Alexandria via LeMat-Bulk).

Cell and atoms, written as POSCAR:
```
Te2SeIO
1.0
4.415 0.000 0.000
0.000 4.415 0.000
0.000 0.000 8.038
O Te Se I
1 2 1 1
direct
0.000 0.000 0.000
0.500 0.000 0.000
0.000 0.500 0.000
0.500 0.500 0.500
0.000 0.000 0.500
```

Properties
- mass density (g/cm³) = 5.06
- calculated volume (Å³/cell) = 157
- symmetry = No. 123
- raw formation energy (kJ/mol of formula units) = 146



Entry 4:
# Cs3Hg2As2

An optimized crystal structure of Cs3Hg2As2 (PBE, Alexandria via LeMat-Bulk).

Cell and atoms, written as POSCAR:
```
Cs3Hg2As2
1.0
-3.879 -2.164 3.638
-2.080 -2.211 -3.533
9.225 -6.282 1.569
Cs Hg As
3 2 2
direct
0.809 0.309 0.618
0.191 0.691 0.382
0.000 0.000 0.000
0.571 0.571 0.142
0.429 0.429 0.858
0.632 0.132 0.263
0.368 0.868 0.737
```

Properties
- mass density (g/cm³) = 5.54
- ΔE_f (meV per atom) = -347
- calculated volume (Å³/cell) = 285
- symmetry = No. 71



Entry 5:
# Ag2Ge2Br

An optimized crystal structure of Ag2Ge2Br (PBE, Alexandria via LeMat-Bulk).

Cell and atoms, written as POSCAR:
```
Ag2Ge2Br
1.0
8.029 0.000 0.000
0.000 8.029 0.000
0.000 0.000 3.272
Ag Ge Br
4 4 2
direct
0.179 0.321 0.000
0.321 0.821 0.000
0.821 0.679 0.000
0.679 0.179 0.000
0.386 0.114 0.500
0.614 0.886 0.500
0.114 0.614 0.500
0.886 0.386 0.500
0.500 0.500 0.000
0.000 0.000 0.000
```

Properties
- mass density (g/cm³) = 6.94
- calculated volume (Å³/cell) = 211
- symmetry = No. 127
- raw formation energy (kJ/mol of formula units) = 81



Entry 6:
# HfTa2SbOs

An optimized crystal structure of HfTa2SbOs (PBE, Alexandria via LeMat-Bulk).

Cell and atoms, written as POSCAR:
```
HfTa2SbOs
1.0
-3.585 -0.045 -3.299
-1.669 -4.370 1.873
-2.878 2.426 3.094
Sb Ta Os Hf
1 2 1 1
direct
0.500 0.500 0.500
0.500 0.000 0.000
0.000 0.000 0.500
0.000 0.000 0.000
0.000 0.500 0.000
```

Properties
- mass density (g/cm³) = 11.83
- calculated volume (Å³/cell) = 120
- symmetry = No. 123
- raw formation energy (kJ/mol of formula units) = 336



Entry 7:
# Cs2RbTlBi

An optimized crystal structure of Cs2RbTlBi (PBE, Alexandria via LeMat-Bulk).

Cell and atoms, written as POSCAR:
```
Cs2RbTlBi
1.0
-7.255 -2.229 1.708
2.599 -7.120 1.750
0.845 1.753 5.877
Tl Cs Rb Bi
1 2 1 1
direct
0.000 0.000 0.500
0.000 0.500 0.000
0.500 0.000 0.000
0.500 0.500 0.500
0.000 0.000 0.000
```

Properties
- mass density (g/cm³) = 3.39
- ΔE_f (meV per atom) = -62
- calculated volume (Å³/cell) = 375
- symmetry = No. 123



Entry 8:
# Ag2BiI

An optimized crystal structure of Ag2BiI (PBE, Alexandria via LeMat-Bulk).

Cell and atoms, written as POSCAR:
```
Ag2BiI
1.0
0.000 3.736 3.736
3.736 0.000 3.736
3.736 3.736 0.000
Ag Bi I
2 1 1
direct
0.250 0.250 0.250
0.750 0.750 0.750
0.500 0.500 0.500
0.000 0.000 0.000
```

Properties
- mass density (g/cm³) = 8.79
- calculated volume (Å³/cell) = 104
- symmetry = No. 225
- raw formation energy (kJ/mol of formula units) = 176